VASP calculation (PBE) on crystalline GeBi2Te at its relaxed geometry.

extended XYZ file:
```
4
Lattice="4.303 0.000 0.000 2.152 3.727 0.000 2.152 1.242 8.154" Properties=species:S:1:pos:R:3 pbc="T T T"
Bi 2.152 1.242 6.265
Bi 2.152 1.242 1.457
Te 4.303 2.485 4.468
Ge 4.303 2.485 0.041
```

Computed properties:
Distance to the lowest polymorph of the same formula = 0 meV/atom
Total DFT energy (no corrections) = -15.353 eV/cell